1.
# TlZnCd2 (GGA-PBE, relaxed)
data_TlZnCd2
_chemical_formula_sum 'Tl2 Zn2 Cd4'
_cell_length_a 4.525
_cell_length_b 4.525
_cell_length_c 9.149
_cell_angle_alpha 90.00
_cell_angle_beta 90.00
_cell_angle_gamma 90.00
_space_group_name_H-M_alt 'P 1'
_space_group_IT_number 1
loop_
_space_group_symop_operation_xyz
'x,y,z'
loop_
_atom_site_label
_atom_site_fract_x
_atom_site_fract_y
_atom_site_fract_z
_atom_site_occupancy
Tl1 0.000 0.000 0.000 1
Tl2 0.500 0.500 0.500 1
Zn1 0.000 0.500 0.750 1
Zn2 0.500 0.000 0.250 1
Cd1 0.000 0.000 0.500 1
Cd2 0.000 0.500 0.250 1
Cd3 0.500 0.000 0.750 1
Cd4 0.500 0.500 0.000 1
# * N(E_F): 0.442 states/eV/atom
# * calculated formation energy: 0.13 eV/atom



2.
# TlZn2Cd (GGA-PBE, relaxed)
data_TlZn2Cd
_chemical_formula_sum 'Tl2 Zn4 Cd2'
_cell_length_a 9.078
_cell_length_b 3.239
_cell_length_c 6.270
_cell_angle_alpha 90.00
_cell_angle_beta 104.85
_cell_angle_gamma 90.00
_space_group_name_H-M_alt 'P 1'
_space_group_IT_number 1
loop_
_space_group_symop_operation_xyz
'x,y,z'
loop_
_atom_site_label
_atom_site_fract_x
_atom_site_fract_y
_atom_site_fract_z
_atom_site_occupancy
Tl1 0.000 0.000 0.000 1
Tl2 0.500 0.500 0.000 1
Zn1 0.250 0.000 0.695 1
Zn2 0.250 0.500 0.305 1
Zn3 0.750 0.000 0.305 1
Zn4 0.750 0.500 0.695 1
Cd1 0.000 0.500 0.500 1
Cd2 0.500 0.000 0.500 1
# * N(E_F): 0.329 states/eV/atom
# * calculated formation energy: 0.15 eV/atom



3.
# TlZnCd (GGA-PBE, relaxed)
data_TlZnCd
_chemical_formula_sum 'Tl1 Zn1 Cd1'
_cell_length_a 4.803
_cell_length_b 4.803
_cell_length_c 3.687
_cell_angle_alpha 90.00
_cell_angle_beta 90.00
_cell_angle_gamma 120.00
_space_group_name_H-M_alt 'P 1'
_space_group_IT_number 1
loop_
_space_group_symop_operation_xyz
'x,y,z'
loop_
_atom_site_label
_atom_site_fract_x
_atom_site_fract_y
_atom_site_fract_z
_atom_site_occupancy
Tl1 0.000 0.000 0.000 1
Zn1 0.667 0.333 0.491 1
Cd1 0.333 0.667 0.504 1
# * N(E_F): 0.342 states/eV/atom
# * calculated formation energy: 0.13 eV/atom



4.
# TlZnCd11 (GGA-PBE, relaxed)
data_TlZnCd11
_chemical_formula_sum 'Tl1 Zn1 Cd11'
_cell_length_a 7.731
_cell_length_b 7.731
_cell_length_c 7.669
_cell_angle_alpha 98.02
_cell_angle_beta 98.02
_cell_angle_gamma 134.66
_space_group_name_H-M_alt 'P 1'
_space_group_IT_number 1
loop_
_space_group_symop_operation_xyz
'x,y,z'
loop_
_atom_site_label
_atom_site_fract_x
_atom_site_fract_y
_atom_site_fract_z
_atom_site_occupancy
Tl1 0.000 0.000 0.000 1
Zn1 0.500 0.500 0.500 1
Cd1 0.000 0.000 0.500 1
Cd2 0.000 0.500 0.000 1
Cd3 0.007 0.354 0.355 1
Cd4 0.298 0.510 0.780 1
Cd5 0.354 0.007 0.355 1
Cd6 0.490 0.702 0.220 1
Cd7 0.500 0.000 0.000 1
Cd8 0.510 0.298 0.780 1
Cd9 0.646 0.993 0.645 1
Cd10 0.702 0.490 0.220 1
Cd11 0.993 0.646 0.645 1
# * N(E_F): 0.387 states/eV/atom
# * calculated formation energy: 0.03 eV/atom



5.
# Tl2ZnCd2 (GGA-PBE, relaxed)
data_Tl2ZnCd2
_chemical_formula_sum 'Tl4 Zn2 Cd4'
_cell_length_a 4.514
_cell_length_b 4.514
_cell_length_c 14.275
_cell_angle_alpha 90.00
_cell_angle_beta 90.00
_cell_angle_gamma 90.00
_space_group_name_H-M_alt 'P 1'
_space_group_IT_number 1
loop_
_space_group_symop_operation_xyz
'x,y,z'
loop_
_atom_site_label
_atom_site_fract_x
_atom_site_fract_y
_atom_site_fract_z
_atom_site_occupancy
Tl1 0.000 0.500 0.250 1
Tl2 0.000 0.500 0.750 1
Tl3 0.500 0.000 0.250 1
Tl4 0.500 0.000 0.750 1
Zn1 0.000 0.000 0.000 1
Zn2 0.500 0.500 0.500 1
Cd1 0.000 0.000 0.405 1
Cd2 0.000 0.000 0.595 1
Cd3 0.500 0.500 0.095 1
Cd4 0.500 0.500 0.905 1
# * N(E_F): 0.570 states/eV/atom
# * calculated formation energy: 0.27 eV/atom



6.
# TlZn2Cd (GGA-PBE, relaxed)
data_TlZn2Cd
_chemical_formula_sum 'Tl2 Zn4 Cd2'
_cell_length_a 6.305
_cell_length_b 8.513
_cell_length_c 3.202
_cell_angle_alpha 90.00
_cell_angle_beta 91.64
_cell_angle_gamma 90.00
_space_group_name_H-M_alt 'P 1'
_space_group_IT_number 1
loop_
_space_group_symop_operation_xyz
'x,y,z'
loop_
_atom_site_label
_atom_site_fract_x
_atom_site_fract_y
_atom_site_fract_z
_atom_site_occupancy
Tl1 0.000 0.000 0.000 1
Tl2 0.500 0.500 0.000 1
Zn1 0.250 0.250 0.500 1
Zn2 0.250 0.750 0.500 1
Zn3 0.750 0.250 0.500 1
Zn4 0.750 0.750 0.500 1
Cd1 0.000 0.500 0.000 1
Cd2 0.500 0.000 0.000 1
# * N(E_F): 0.398 states/eV/atom
# * calculated formation energy: 0.18 eV/atom



7.
# Tl2ZnCd (GGA-PBE, relaxed)
data_Tl2ZnCd
_chemical_formula_sum 'Tl8 Zn4 Cd4'
_cell_length_a 7.463
_cell_length_b 7.463
_cell_length_c 7.463
_cell_angle_alpha 90.00
_cell_angle_beta 90.00
_cell_angle_gamma 90.00
_space_group_name_H-M_alt 'P 1'
_space_group_IT_number 1
loop_
_space_group_symop_operation_xyz
'x,y,z'
loop_
_atom_site_label
_atom_site_fract_x
_atom_site_fract_y
_atom_site_fract_z
_atom_site_occupancy
Tl1 0.250 0.250 0.250 1
Tl2 0.250 0.250 0.750 1
Tl3 0.250 0.750 0.250 1
Tl4 0.250 0.750 0.750 1
Tl5 0.750 0.250 0.250 1
Tl6 0.750 0.250 0.750 1
Tl7 0.750 0.750 0.250 1
Tl8 0.750 0.750 0.750 1
Zn1 0.000 0.000 0.000 1
Zn2 0.000 0.500 0.500 1
Zn3 0.500 0.000 0.500 1
Zn4 0.500 0.500 0.000 1
Cd1 0.000 0.000 0.500 1
Cd2 0.000 0.500 0.000 1
Cd3 0.500 0.000 0.000 1
Cd4 0.500 0.500 0.500 1
# * N(E_F): 0.328 states/eV/atom
# * calculated formation energy: 0.14 eV/atom



8.
# TlZn2Cd (GGA-PBE, relaxed)
data_TlZn2Cd
_chemical_formula_sum 'Tl2 Zn4 Cd2'
_cell_length_a 4.609
_cell_length_b 4.760
_cell_length_c 7.929
_cell_angle_alpha 90.00
_cell_angle_beta 90.00
_cell_angle_gamma 90.00
_space_group_name_H-M_alt 'P 1'
_space_group_IT_number 1
loop_
_space_group_symop_operation_xyz
'x,y,z'
loop_
_atom_site_label
_atom_site_fract_x
_atom_site_fract_y
_atom_site_fract_z
_atom_site_occupancy
Tl1 0.000 0.000 0.000 1
Tl2 0.500 0.500 0.000 1
Zn1 0.000 0.500 0.277 1
Zn2 0.000 0.500 0.723 1
Zn3 0.500 0.000 0.277 1
Zn4 0.500 0.000 0.723 1
Cd1 0.000 0.000 0.500 1
Cd2 0.500 0.500 0.500 1
# * N(E_F): 0.376 states/eV/atom
# * calculated formation energy: 0.16 eV/atom



9.
# TlZnCd2 (GGA-PBE, relaxed)
data_TlZnCd2
_chemical_formula_sum 'Tl2 Zn2 Cd4'
_cell_length_a 6.010
_cell_length_b 9.625
_cell_length_c 3.305
_cell_angle_alpha 90.00
_cell_angle_beta 90.00
_cell_angle_gamma 90.00
_space_group_name_H-M_alt 'P 1'
_space_group_IT_number 1
loop_
_space_group_symop_operation_xyz
'x,y,z'
loop_
_atom_site_label
_atom_site_fract_x
_atom_site_fract_y
_atom_site_fract_z
_atom_site_occupancy
Tl1 0.000 0.000 0.000 1
Tl2 0.500 0.500 0.000 1
Zn1 0.000 0.500 0.000 1
Zn2 0.500 0.000 0.000 1
Cd1 0.250 0.250 0.500 1
Cd2 0.250 0.750 0.500 1
Cd3 0.750 0.250 0.500 1
Cd4 0.750 0.750 0.500 1
# * N(E_F): 0.255 states/eV/atom
# * calculated formation energy: 0.14 eV/atom



10.
# TlZnCd3 (GGA-PBE, relaxed)
data_TlZnCd3
_chemical_formula_sum 'Tl2 Zn2 Cd6'
_cell_length_a 7.745
_cell_length_b 7.745
_cell_length_c 5.206
_cell_angle_alpha 90.00
_cell_angle_beta 90.00
_cell_angle_gamma 129.47
_space_group_name_H-M_alt 'P 1'
_space_group_IT_number 1
loop_
_space_group_symop_operation_xyz
'x,y,z'
loop_
_atom_site_label
_atom_site_fract_x
_atom_site_fract_y
_atom_site_fract_z
_atom_site_occupancy
Tl1 0.083 0.917 0.750 1
Tl2 0.917 0.083 0.250 1
Zn1 0.500 0.500 0.000 1
Zn2 0.500 0.500 0.500 1
Cd1 0.101 0.411 0.750 1
Cd2 0.324 0.676 0.250 1
Cd3 0.411 0.101 0.250 1
Cd4 0.589 0.899 0.750 1
Cd5 0.676 0.324 0.750 1
Cd6 0.899 0.589 0.250 1
# * N(E_F): 0.186 states/eV/atom
# * calculated formation energy: 0.06 eV/atom



11.
# Tl2ZnCd (GGA-PBE, relaxed)
data_Tl2ZnCd
_chemical_formula_sum 'Tl4 Zn2 Cd2'
_cell_length_a 4.584
_cell_length_b 4.855
_cell_length_c 9.166
_cell_angle_alpha 90.00
_cell_angle_beta 90.00
_cell_angle_gamma 90.00
_space_group_name_H-M_alt 'P 1'
_space_group_IT_number 1
loop_
_space_group_symop_operation_xyz
'x,y,z'
loop_
_atom_site_label
_atom_site_fract_x
_atom_site_fract_y
_atom_site_fract_z
_atom_site_occupancy
Tl1 0.000 0.000 0.000 1
Tl2 0.000 0.500 0.314 1
Tl3 0.500 0.000 0.314 1
Tl4 0.500 0.500 0.000 1
Zn1 0.000 0.500 0.769 1
Zn2 0.500 0.000 0.769 1
Cd1 0.000 0.000 0.581 1
Cd2 0.500 0.500 0.581 1
# * N(E_F): 0.284 states/eV/atom
# * calculated formation energy: 0.08 eV/atom



12.
# Tl2ZnCd (GGA-PBE, relaxed)
data_Tl2ZnCd
_chemical_formula_sum 'Tl4 Zn2 Cd2'
_cell_length_a 4.765
_cell_length_b 4.765
_cell_length_c 9.083
_cell_angle_alpha 90.00
_cell_angle_beta 90.00
_cell_angle_gamma 90.00
_space_group_name_H-M_alt 'P 1'
_space_group_IT_number 1
loop_
_space_group_symop_operation_xyz
'x,y,z'
loop_
_atom_site_label
_atom_site_fract_x
_atom_site_fract_y
_atom_site_fract_z
_atom_site_occupancy
Tl1 0.000 0.500 0.250 1
Tl2 0.000 0.500 0.750 1
Tl3 0.500 0.000 0.250 1
Tl4 0.500 0.000 0.750 1
Zn1 0.000 0.000 0.000 1
Zn2 0.500 0.500 0.500 1
Cd1 0.000 0.000 0.500 1
Cd2 0.500 0.500 0.000 1
# * N(E_F): 0.442 states/eV/atom
# * calculated formation energy: 0.14 eV/atom



What is the N(E_F) in the twelfth record? 0.442 states/eV/atom